# KAs2PSe | Alexandria | GGA-PBE | optimized geometry
data_KAs2PSe
_cell_length_a 4.889
_cell_length_b 4.889
_cell_length_c 5.265
_cell_angle_alpha 90.00
_cell_angle_beta 90.00
_cell_angle_gamma 90.00
_space_group_name_H-M_alt 'P 1'
_space_group_IT_number 1
loop_
_space_group_symop_operation_xyz
'x,y,z'
loop_
_atom_site_label
_atom_site_fract_x
_atom_site_fract_y
_atom_site_fract_z
_atom_site_occupancy
K1 0.500 0.500 0.500 1
As1 0.500 0.000 0.000 1
As2 0.000 0.500 0.000 1
Se1 0.000 0.000 0.500 1
P1 0.000 0.000 0.000 1
# Spin magnetization   1.07 μB/f.u.
# E_form (uncorrected)   197 meV per atom
# Calculated volume   126 Å³ per cell
# Symmetry   P4/mmm